1.
TlSiHg2Se4 (PBE-GGA, optimized geometry); DFT total energy = -24.5 eV/cell; symmetry = No. 42
1.0
7.397 0.262 0.000
-0.353 7.393 0.000
-3.522 -3.827 4.211
Tl Si Hg Se
1 1 2 4
Cartesian
3.522 3.827 4.142
0.000 0.000 4.188
3.698 0.131 2.266
-0.176 3.696 2.266
1.314 1.428 2.907
2.087 5.148 1.191
4.957 2.507 1.191
-1.314 -1.428 2.907

---

2.
HfUAlO6 (PBE-GGA, optimized geometry); DFT total energy = -167.1 eV/cell; symmetry = No. 163
1.0
-1.421 -4.320 2.435
2.886 3.508 2.444
-7.847 4.313 3.074
Hf U Al O
2 2 2 12
Cartesian
-0.511 1.977 3.209
-5.870 1.525 4.744
0.000 0.000 0.000
-3.923 2.157 1.537
-1.947 -0.632 3.206
-4.435 4.134 4.746
-0.146 -0.033 3.617
-1.490 -2.475 3.613
-2.634 4.734 5.156
-4.891 5.977 4.340
-2.404 1.210 2.799
-2.390 -0.390 5.081
-4.878 4.375 6.621
-3.747 -1.232 2.797
-3.992 3.892 2.872
-1.504 -0.873 1.332
-3.978 2.292 5.154
-6.235 3.535 4.336

---

3.
Al2FeHg (PBE-GGA, optimized geometry); DFT total energy = -15.7 eV/cell; symmetry = No. 123
1.0
-2.026 -3.602 0.129
3.130 -1.685 2.110
-1.560 0.989 3.105
Al Hg Fe
2 1 1
Cartesian
0.000 0.000 0.000
0.552 -2.644 1.119
0.785 -0.348 2.608
-1.793 -1.306 1.617

---

4.
ZnFeRu2 (PBE-GGA, optimized geometry); DFT total energy = -27.8 eV/cell; symmetry = No. 8
1.0
-2.665 3.653 1.143
-2.823 1.864 3.211
2.959 2.452 2.348
Fe Ru Zn
1 2 1
Cartesian
-0.628 2.020 1.700
2.915 2.427 2.323
-1.815 6.005 5.057
-1.308 3.954 3.322

---

5.
Cs5Ni2I12 (PBE-GGA, optimized geometry); DFT total energy = -48.6 eV/cell; symmetry = No. 12
1.0
-2.975 -7.673 -5.893
0.457 -6.284 7.951
-7.471 6.524 3.969
Cs Ni I
5 2 12
Cartesian
-4.808 -5.617 1.048
-5.608 -8.609 5.348
0.229 -3.142 3.975
-4.379 1.177 0.678
-5.180 -1.815 4.978
-1.022 -2.636 -2.025
-1.953 -5.037 -3.868
-0.344 -5.410 7.218
-4.114 -5.771 -2.743
-2.868 -2.557 -0.274
-4.829 -9.478 1.242
-3.171 -5.202 4.526
-7.984 1.414 2.189
-2.003 -8.846 3.837
-5.159 2.046 4.785
-6.817 -2.230 1.500
-5.874 -1.661 8.769
-7.120 -4.876 6.300
-9.644 -2.022 -1.192

---

6.
PmTcAgO5 (PBE-GGA, optimized geometry); DFT total energy = -112.3 eV/cell; symmetry = No. 15
1.0
6.328 0.760 -0.167
-1.120 6.274 -0.167
-2.360 -3.188 7.743
Pm Tc Ag O
2 2 2 10
Cartesian
-1.180 -1.594 3.872
0.000 0.000 0.000
3.081 1.930 1.768
-0.234 1.916 5.640
0.509 3.834 1.768
2.338 0.012 5.640
-1.197 5.097 1.768
4.045 -1.251 5.640
4.305 1.956 0.476
-1.458 1.890 6.932
3.413 0.751 3.060
-0.566 3.094 4.348
2.925 3.577 2.481
-0.078 0.269 4.927
1.460 1.598 1.056
1.387 2.248 6.353

---

7.
PmCuSO (PBE-GGA, optimized geometry); DFT total energy = -51.7 eV/cell; symmetry = No. 129
1.0
-3.318 1.830 0.997
-0.681 -2.724 2.733
4.236 4.606 5.645
Pm Cu S O
2 2 2 2
Cartesian
1.069 3.881 4.134
1.167 0.277 3.376
-2.000 -0.447 1.865
0.000 0.000 0.000
3.187 2.473 6.067
-0.950 1.686 1.443
2.118 2.303 2.822
0.119 1.856 4.688

---

8.
MnNiH (PBE-GGA, optimized geometry); DFT total energy = -36.8 eV/cell; symmetry = No. 164
1.0
-2.451 -0.738 0.096
1.837 -1.538 0.907
-0.761 3.496 7.465
H Mn Ni
2 2 2
Cartesian
-1.019 -0.564 3.987
-1.402 1.203 7.762
-0.274 1.717 6.346
-1.533 1.198 4.399
-1.143 -0.594 0.573
0.096 0.012 2.707

---

9.
KNaSr2Ga (PBE-GGA, optimized geometry); DFT total energy = -8.8 eV/cell; symmetry = No. 123
1.0
6.309 0.000 0.000
0.000 6.309 0.000
0.000 0.000 6.120
Sr K Ga Na
2 1 1 1
Cartesian
0.000 3.155 0.000
3.155 0.000 0.000
3.155 3.155 3.060
0.000 0.000 0.000
0.000 0.000 3.060

---

10.
CeDyZnCd (PBE-GGA, optimized geometry); symmetry = No. 216; ΔE to the lowest computed polymorph = 32.6 meV per atom
1.0
-5.091 -1.236 0.095
-1.555 -4.541 2.103
-2.606 -0.026 4.546
Zn Cd Ce Dy
1 1 1 1
Cartesian
-2.313 -1.451 1.686
-6.939 -4.352 5.058
0.000 0.000 0.000
-4.626 -2.902 3.372

---

11.
YCdGeS2 (PBE-GGA, optimized geometry); DFT total energy = -18.0 eV/cell; symmetry = No. 123
1.0
-0.951 4.341 1.888
2.220 -1.754 5.152
4.368 1.547 -1.356
Y Ge S Cd
1 1 2 1
Cartesian
1.110 -0.877 2.576
2.818 2.067 2.842
2.184 0.773 -0.678
-0.476 2.170 0.944
0.000 0.000 0.000

---

12.
Cs3BS3 (PBE-GGA, optimized geometry); symmetry = No. 160; ΔE to the lowest computed polymorph = 156.9 meV per atom
1.0
6.395 -2.144 -0.883
-6.415 10.917 -4.566
1.260 -2.144 6.332
Cs B S
3 1 3
Cartesian
-3.182 9.795 -4.988
0.647 3.259 0.461
-5.755 9.795 -1.374
-4.045 6.884 -2.879
0.779 4.264 -2.922
-2.864 8.024 -2.039
-2.505 4.264 1.693

---

13.
LiLaGa2Pd (PBE-GGA, optimized geometry); symmetry = No. 123; ΔE to the lowest computed polymorph = 131.5 meV per atom
1.0
-0.410 0.493 -4.763
-1.688 -4.489 -0.319
-4.379 1.608 0.543
Li Ga Pd La
1 2 1 1
Cartesian
-2.189 0.804 0.272
-0.844 -2.244 -0.160
-0.205 0.246 -2.382
0.000 0.000 0.000
-3.238 -1.194 -2.270

---

14.
LaTa2O (PBE-GGA, optimized geometry); DFT total energy = -70.4 eV/cell; symmetry = No. 122
1.0
6.435 0.000 0.000
0.000 6.435 0.000
3.218 3.218 4.509
La O Ta
2 2 4
Cartesian
0.000 0.000 0.000
6.435 3.218 2.254
3.218 3.218 0.000
3.218 6.435 2.254
3.119 1.609 1.127
3.317 4.827 1.127
4.827 6.535 3.382
8.044 6.336 3.382

---

15.
Hg3BRh (PBE-GGA, optimized geometry); symmetry = No. 221; ΔE to the lowest computed polymorph = 0.0 meV per atom
1.0
-4.305 0.489 -1.305
-0.167 -4.388 -1.093
-1.383 -0.991 4.193
B Rh Hg
1 1 3
Cartesian
0.000 0.000 0.000
-2.928 -2.445 0.898
-0.084 -2.194 -0.546
-0.692 -0.496 2.096
-2.153 0.244 -0.652

---

16.
MgAgAs2 (PBE-GGA, optimized geometry); DFT total energy = -13.2 eV/cell; symmetry = No. 216
1.0
-2.464 4.091 0.433
-4.332 0.415 -2.015
-3.922 0.157 2.756
Ag As Mg
1 2 1
Cartesian
-5.359 2.331 0.587
0.000 0.000 0.000
-2.679 1.166 0.294
-8.038 3.497 0.881

---

17.
DyHoIr (PBE-GGA, optimized geometry); symmetry = No. 156; ΔE to the lowest computed polymorph = 157.5 meV per atom
1.0
6.125 0.000 0.000
0.000 4.091 0.000
0.000 -2.045 3.543
Ir Ho Dy
1 1 1
Cartesian
2.048 0.000 2.362
3.450 2.045 1.181
0.628 0.000 0.000

---

18.
AsS4O (PBE-GGA, optimized geometry); DFT total energy = -26.6 eV/cell; symmetry = No. 1
1.0
4.195 3.172 2.145
-0.186 6.734 1.553
1.157 0.481 5.833
As S O
1 4 1
Cartesian
4.054 6.537 6.126
2.218 7.789 5.779
4.080 8.718 5.486
2.978 6.354 2.683
0.657 2.570 1.067
2.896 3.983 6.432

---

19.
K2Rb3TlBr6 (PBE-GGA, optimized geometry); DFT total energy = -36.7 eV/cell; symmetry = No. 12
1.0
-4.749 -0.935 -0.344
1.715 -9.381 1.814
0.873 4.556 9.805
K Rb Tl Br
2 3 1 6
Cartesian
-2.229 -4.008 7.452
0.068 -1.752 3.824
-1.517 -5.158 0.735
-3.092 0.696 6.577
0.931 -6.456 4.698
-2.375 -0.467 -0.172
0.557 -5.804 8.099
-1.894 -4.490 4.130
-2.718 0.044 3.177
0.413 -2.288 0.513
-2.574 -3.472 10.763
-0.267 -1.270 7.146

---

20.
Pm2DyIn (PBE-GGA, optimized geometry); symmetry = No. 123; ΔE to the lowest computed polymorph = 59.7 meV per atom
1.0
-0.740 -2.832 -2.128
3.541 -0.669 -0.341
-0.332 -5.633 7.612
Pm In Dy
2 1 1
Cartesian
-0.256 -4.350 5.878
-0.076 -1.284 1.735
1.400 -1.751 -1.235
1.234 -4.568 2.572

---

Number 1: total magnetic moment 0.0 μB per formula unit. Number 2: total magnetic moment 1.0 μB per formula unit. Number 3: total magnetic moment 1.6 μB per formula unit. Number 4: total magnetic moment 2.8 μB per formula unit. Number 5: total magnetic moment 0.9 μB per formula unit. Number 6: total magnetic moment 1.0 μB per formula unit. Number 7: total magnetic moment 0.0 μB per formula unit. Number 8: total magnetic moment 0.0 μB per formula unit. Number 9: total magnetic moment 0.0 μB per formula unit. Number 10: total magnetic moment 1.7 μB per formula unit. Number 11: total magnetic moment 0.0 μB per formula unit. Number 12: total magnetic moment 0.0 μB per formula unit. Number 13: total magnetic moment 0.0 μB per formula unit. Number 14: total magnetic moment 0.0 μB per formula unit. Number 15: total magnetic moment 0.0 μB per formula unit. Number 16: total magnetic moment 0.0 μB per formula unit. Number 17: total magnetic moment 0.0 μB per formula unit. Number 18: total magnetic moment 0.0 μB per formula unit. Number 19: total magnetic moment 0.0 μB per formula unit. Number 20: total magnetic moment 0.0 μB per formula unit.